(1)
A plane-wave DFT calculation with PBE-GGA was carried out for a geometry-optimized ZnAu2 structure.

```
ZnAu2
1.0
-3.690 -2.177 4.324
-3.823 -4.646 0.923
5.339 2.263 -1.851
Au Zn
2 1
direct
0.988 0.988 0.000
0.678 0.678 0.000
0.333 0.333 0.000
```

M_tot in μB per formula unit: 0.00
Raw total energy in eV per atom: -2.761

***

(2)
A plane-wave DFT calculation with PBE-GGA was carried out for a geometry-optimized Zn7Au structure.

```
Zn7Au
1.0
-1.302 1.360 5.253
-5.348 0.279 1.566
-2.104 -3.856 3.441
Zn Au
7 1
direct
0.500 0.000 0.000
0.500 0.000 0.500
0.000 0.500 0.500
0.000 0.500 0.000
0.500 0.500 0.500
0.000 0.000 0.500
0.500 0.500 0.000
0.000 0.000 0.000
```

M_tot in μB per formula unit: 0.00
Raw total energy in eV per atom: -1.573

***

(3)
A plane-wave DFT calculation with PBE-GGA was carried out for a geometry-optimized Zn5Au structure.

```
Zn5Au
1.0
-3.276 2.163 -5.001
4.466 -4.097 1.919
-2.803 -2.753 0.645
Zn Au
5 1
direct
0.641 0.359 0.000
0.303 0.697 0.000
0.472 0.528 0.500
0.144 0.856 0.500
0.801 0.199 0.500
0.972 0.028 0.000
```

M_tot in μB per formula unit: 0.00
Raw total energy in eV per atom: -1.664

***

(4)
A plane-wave DFT calculation with PBE-GGA was carried out for a geometry-optimized Zn3Au5 structure.

```
Zn3Au5
1.0
-7.471 1.067 0.890
4.591 -5.521 -2.486
2.007 -0.113 7.389
Au Zn
10 6
direct
0.289 0.789 0.538
0.672 0.371 0.125
0.090 0.796 0.856
0.250 0.093 0.311
0.746 0.246 0.459
0.593 0.750 0.311
0.760 0.891 0.714
0.391 0.260 0.714
0.871 0.172 0.125
0.296 0.590 0.856
0.190 0.361 0.488
0.761 0.742 0.018
0.232 0.732 0.165
0.242 0.261 0.018
0.762 0.262 0.820
0.861 0.690 0.488
```

Offset from the most stable computed form in meV per atom: 34.4
M_tot in μB per formula unit: 0.00

***

(5)
A plane-wave DFT calculation with PBE-GGA was carried out for a geometry-optimized ZnAu structure.

```
ZnAu
1.0
4.420 0.000 0.041
0.000 3.294 0.000
2.916 1.647 4.522
Zn Au
2 2
direct
0.460 0.502 0.995
0.623 0.248 0.505
0.949 0.992 0.017
0.135 0.758 0.483
```

M_tot in μB per formula unit: 0.00
Raw total energy in eV per atom: -2.470

***

(6)
A plane-wave DFT calculation with PBE-GGA was carried out for a geometry-optimized Zn2Au5 structure.

```
Zn2Au5
1.0
1.802 -1.755 -5.019
0.881 -6.308 2.521
-7.291 2.553 -0.370
Au Zn
10 4
direct
0.088 0.247 0.176
0.912 0.753 0.824
0.980 0.730 0.461
0.588 0.929 0.176
0.020 0.270 0.539
0.250 0.500 0.000
0.480 0.730 0.461
0.412 0.071 0.824
0.750 0.500 0.000
0.520 0.270 0.539
0.878 0.104 0.756
0.122 0.896 0.244
0.378 0.652 0.756
0.622 0.348 0.244
```

Offset from the most stable computed form in meV per atom: 6.1
M_tot in μB per formula unit: 0.00

***

(7)
A plane-wave DFT calculation with PBE-GGA was carried out for a geometry-optimized Zn13Au3 structure.

```
Zn13Au3
1.0
-1.218 -4.428 3.187
3.869 1.826 3.598
-5.543 4.258 3.799
Zn Au
13 3
direct
0.251 0.749 0.000
0.748 0.252 0.500
0.505 0.998 0.254
0.233 0.256 0.000
0.744 0.767 0.000
0.496 0.504 0.747
0.496 0.504 0.253
0.002 0.495 0.746
0.505 0.998 0.746
0.749 0.737 0.500
0.261 0.739 0.500
0.002 0.495 0.254
0.263 0.251 0.500
0.726 0.274 0.000
0.009 0.991 0.742
0.009 0.991 0.258
```

M_tot in μB per formula unit: 0.00
Raw total energy in eV per atom: -1.725

***

(8)
A plane-wave DFT calculation with PBE-GGA was carried out for a geometry-optimized Zn5Au structure.

```
Zn5Au
1.0
-0.896 2.506 1.256
-3.813 -1.446 -3.283
-3.983 -3.326 3.793
Zn Au
5 1
direct
0.671 0.342 0.661
0.720 0.439 0.058
0.332 0.664 0.335
0.056 0.112 0.396
0.391 0.781 0.714
0.997 0.995 0.002
```

M_tot in μB per formula unit: 0.00
Raw total energy in eV per atom: -1.684

***

(9)
A plane-wave DFT calculation with PBE-GGA was carried out for a geometry-optimized Zn5Au4 structure.

```
Zn5Au4
1.0
4.003 0.000 0.000
2.002 6.023 0.000
-2.002 0.000 6.023
Au Zn
4 5
direct
0.316 0.684 0.316
0.000 0.316 0.316
0.684 0.316 0.684
0.000 0.684 0.684
0.333 0.000 0.667
0.000 0.000 0.000
0.667 0.667 0.000
0.333 0.333 0.000
0.667 0.000 0.333
```

Offset from the most stable computed form in meV per atom: 21.7
M_tot in μB per formula unit: 0.00

***

(10)
A plane-wave DFT calculation with PBE-GGA was carried out for a geometry-optimized Zn5Au3 structure.

```
Zn5Au3
1.0
-2.744 -4.367 -5.680
-2.129 -7.234 1.409
-4.871 1.645 1.088
Zn Au
10 6
direct
0.000 0.227 0.750
0.773 0.227 0.250
0.333 0.333 0.500
0.773 0.000 0.750
0.227 0.000 0.250
0.333 0.333 0.000
0.667 0.667 0.500
0.000 0.773 0.250
0.667 0.667 0.000
0.227 0.773 0.750
0.609 0.000 0.250
0.000 0.609 0.750
0.391 0.000 0.750
0.000 0.391 0.250
0.391 0.609 0.250
0.609 0.391 0.750
```

Offset from the most stable computed form in meV per atom: 0.9
M_tot in μB per formula unit: 0.00

***

(11)
A plane-wave DFT calculation with PBE-GGA was carried out for a geometry-optimized ZnAu2 structure.

```
ZnAu2
1.0
4.598 0.000 0.000
0.000 4.644 0.000
0.000 -2.322 4.730
Zn Au
2 4
direct
0.250 0.782 0.000
0.750 0.218 0.000
0.750 0.875 0.309
0.250 0.125 0.691
0.750 0.566 0.691
0.250 0.434 0.309
```

M_tot in μB per formula unit: 0.00
Raw total energy in eV per atom: -2.765

***

(12)
A plane-wave DFT calculation with PBE-GGA was carried out for a geometry-optimized Zn2Au7 structure.

```
Zn2Au7
1.0
4.639 0.000 0.000
-2.319 4.017 0.000
0.000 0.000 8.409
Au Zn
7 2
direct
0.000 0.000 0.332
0.000 0.000 0.000
0.333 0.667 0.549
0.333 0.667 0.190
0.667 0.333 0.451
0.667 0.333 0.810
0.000 0.000 0.668
0.667 0.333 0.129
0.333 0.667 0.871
```

M_tot in μB per formula unit: 0.00
Raw total energy in eV per atom: -2.921

***

(13)
A plane-wave DFT calculation with PBE-GGA was carried out for a geometry-optimized ZnAu structure.

```
ZnAu
1.0
-1.043 3.018 3.972
2.218 -3.354 3.131
4.468 2.369 -0.627
Au Zn
4 4
direct
0.098 0.598 0.902
0.402 0.402 0.402
0.598 0.902 0.098
0.902 0.098 0.598
0.097 0.097 0.097
0.403 0.903 0.597
0.903 0.597 0.403
0.597 0.403 0.903
```

M_tot in μB per formula unit: 0.00
Raw total energy in eV per atom: -2.492

***

(14)
A plane-wave DFT calculation with PBE-GGA was carried out for a geometry-optimized Zn3Au2 structure.

```
Zn3Au2
1.0
11.065 -1.462 0.011
11.065 1.462 0.011
10.869 0.000 2.535
Au Zn
2 3
direct
0.600 0.600 0.600
0.400 0.400 0.400
0.801 0.801 0.801
0.199 0.199 0.199
0.000 0.000 0.000
```

Offset from the most stable computed form in meV per atom: 116.0
M_tot in μB per formula unit: 0.00

***

(15)
A plane-wave DFT calculation with PBE-GGA was carried out for a geometry-optimized Zn3Au5 structure.

```
Zn3Au5
1.0
-1.849 2.595 1.979
-2.841 -2.928 1.184
7.034 -1.648 5.180
Au Zn
5 3
direct
0.255 0.755 0.511
0.382 0.382 0.764
0.500 0.000 0.000
0.745 0.245 0.489
0.618 0.618 0.236
0.127 0.127 0.254
0.873 0.873 0.746
0.000 0.500 0.000
```

Offset from the most stable computed form in meV per atom: 7.6
M_tot in μB per formula unit: 0.00

***

(16)
A plane-wave DFT calculation with PBE-GGA was carried out for a geometry-optimized Zn2Au3 structure.

```
Zn2Au3
1.0
-5.160 -3.837 -2.198
2.535 -5.454 3.568
-3.998 1.998 5.896
Zn Au
8 12
direct
0.201 0.883 0.138
0.201 0.617 0.862
0.299 0.117 0.638
0.799 0.383 0.138
0.799 0.117 0.862
0.701 0.617 0.638
0.701 0.883 0.362
0.299 0.383 0.362
0.011 0.123 0.345
0.511 0.123 0.155
0.138 0.250 0.000
0.362 0.750 0.500
0.989 0.877 0.655
0.862 0.750 0.000
0.989 0.623 0.345
0.011 0.377 0.655
0.489 0.877 0.845
0.511 0.377 0.845
0.489 0.623 0.155
0.638 0.250 0.500
```

Offset from the most stable computed form in meV per atom: 46.1
M_tot in μB per formula unit: 0.00

***

(17)
A plane-wave DFT calculation with PBE-GGA was carried out for a geometry-optimized Zn7Au5 structure.

```
Zn7Au5
1.0
4.440 0.000 0.000
-2.220 4.165 -0.003
0.000 -1.684 10.950
Zn Au
7 5
direct
0.322 0.644 0.950
0.357 0.715 0.701
0.678 0.356 0.050
0.045 0.090 0.758
0.955 0.910 0.242
0.500 0.000 0.500
0.643 0.285 0.299
0.157 0.315 0.449
0.717 0.433 0.800
0.000 0.000 0.000
0.283 0.567 0.200
0.843 0.685 0.551
```

Offset from the most stable computed form in meV per atom: 4.3
M_tot in μB per formula unit: 0.00

***

(18)
A plane-wave DFT calculation with PBE-GGA was carried out for a geometry-optimized Zn2Au3 structure.

```
Zn2Au3
1.0
-0.657 -2.152 -3.761
4.079 0.669 1.459
-0.203 -4.690 2.719
Au Zn
3 2
direct
0.000 0.000 0.000
0.333 0.667 0.342
0.667 0.333 0.658
0.667 0.333 0.173
0.333 0.667 0.827
```

Offset from the most stable computed form in meV per atom: 62.1
M_tot in μB per formula unit: 0.00

***

(19)
A plane-wave DFT calculation with PBE-GGA was carried out for a geometry-optimized Zr12Zn3Au5 structure.

```
Zr12Zn3Au5
1.0
13.931 0.000 0.000
-4.644 13.135 0.000
-4.644 -6.567 11.375
Zr Zn Au
48 12 20
direct
0.411 0.141 0.575
0.089 0.165 0.230
0.230 0.565 0.641
0.835 0.911 0.270
0.935 0.359 0.270
0.165 0.089 0.730
0.925 0.835 0.565
0.770 0.335 0.911
0.425 0.065 0.335
0.065 0.641 0.730
0.075 0.911 0.141
0.935 0.575 0.165
0.359 0.935 0.770
0.641 0.575 0.911
0.359 0.425 0.089
0.435 0.770 0.859
0.641 0.065 0.230
0.411 0.270 0.335
0.770 0.435 0.359
0.141 0.411 0.075
0.730 0.589 0.165
0.435 0.665 0.075
0.270 0.859 0.935
0.165 0.075 0.935
0.835 0.925 0.065
0.589 0.730 0.665
0.911 0.075 0.641
0.425 0.359 0.589
0.065 0.425 0.835
0.270 0.411 0.835
0.089 0.925 0.359
0.589 0.859 0.425
0.911 0.835 0.770
0.230 0.665 0.089
0.859 0.589 0.925
0.730 0.141 0.065
0.925 0.089 0.859
0.665 0.230 0.589
0.565 0.335 0.925
0.859 0.270 0.435
0.335 0.565 0.425
0.141 0.730 0.565
0.575 0.641 0.411
0.075 0.165 0.435
0.565 0.230 0.141
0.575 0.935 0.665
0.335 0.770 0.411
0.665 0.435 0.575
0.375 0.625 0.250
0.875 0.125 0.250
0.125 0.250 0.875
0.125 0.875 0.750
0.875 0.750 0.125
0.375 0.750 0.625
0.625 0.375 0.750
0.250 0.625 0.875
0.250 0.125 0.375
0.750 0.875 0.625
0.625 0.250 0.375
0.750 0.375 0.125
0.125 0.750 0.375
0.500 0.000 0.500
0.375 0.125 0.750
0.250 0.875 0.125
0.500 0.000 0.000
0.000 0.000 0.000
0.625 0.750 0.875
0.875 0.250 0.625
0.875 0.625 0.750
0.750 0.125 0.875
0.250 0.375 0.625
0.000 0.500 0.000
0.000 0.500 0.500
0.750 0.625 0.375
0.500 0.500 0.500
0.000 0.000 0.500
0.625 0.875 0.250
0.125 0.375 0.250
0.375 0.250 0.125
0.500 0.500 0.000
```

M_tot in μB per formula unit: 6.48
Raw total energy in eV per atom: -5.845